No. 1
A geometry-optimized La5Tl4Pb structure, computed with PBE.

The structure belongs to space group P4/mmm (No. 123); the cell edges are 3.9644, 3.9644 and 20.1935 Å and the angles 90.00°, 90.00° and 90.00°. Symmetry generates all atoms from La at (0.0000, 0.0000, 0.0000), La at (0.0000, 0.0000, 0.1985), La at (0.0000, 0.0000, 0.3977), Tl at (0.5000, 0.5000, 0.0988), Tl at (0.5000, 0.5000, 0.2955) and Pb at (0.5000, 0.5000, 0.5000).

No. 2
A geometry-optimized CaScBiRh2 structure, computed with PBE.

The structure belongs to space group P4/mmm (No. 123); the cell edges are 4.7782, 4.7782 and 5.1984 Å and the angles 90.00°, 90.00° and 90.00°. Symmetry generates all atoms from Ca at (0.0000, 0.0000, 0.0000), Sc at (0.0000, 0.0000, 0.5000), Bi at (0.5000, 0.5000, 0.5000) and Rh at (0.0000, 0.5000, 0.0000).

No. 3
A geometry-optimized Ni2PbCl structure, computed with PBE.

The structure belongs to space group C2/m (No. 12); the cell edges are 5.8869, 8.2461 and 3.3747 Å and the angles 90.00°, 119.56° and 90.00°. Symmetry generates all atoms from Ni at (0.2500, 0.2500, 0.0000), Pb at (0.0000, 0.0000, 0.5000) and Cl at (0.0000, 0.5000, 0.5000).

The energy relative to the lowest polymorph listed for this composition comes out at 0.3749 eV/atom. The calculation puts the formation energy from raw total energies at 0.42 eV per atom.

| no. | total magnetization (μB per cell) | density of states at the Fermi level (states/eV per cell) | E (eV/cell) |
| --- | --- | --- | --- |
| 1 | 0.00 | 7.45 | -42.33 |
| 2 | 0.05 | 8.27 | -22.50 |
| 3 | 0.00 | 6.12 | -30.84 |